1.
A plane-wave DFT calculation with PBE was carried out for a relaxed SmTmSc2Tl4 crystal.

a = 5.2463 Å, b = 5.2463 Å, c = 9.1176 Å
α = 73.28°, β = 73.28°, γ = 60.00°
Last column: nearest neighbours and their distance in Å.
Element x y z (fractional)
Sm 0.0000 0.0000 0.0000  8 Tl 3.23-3.27
Tl 0.1266 0.1266 0.6201  4 Sc 3.17-3.22, 3 Tm 3.20, 1 Sm 3.27
Tl 0.8734 0.8734 0.3799  4 Sc 3.17-3.22, 3 Tm 3.20, 1 Sm 3.27
Tl 0.6232 0.6232 0.1303  1 Tm 3.18, 4 Sc 3.20-3.28, 3 Sm 3.23
Tl 0.3768 0.3768 0.8697  1 Tm 3.18, 4 Sc 3.20-3.28, 3 Sm 3.23
Sc 0.7505 0.7505 0.7485  8 Tl 3.17-3.28
Sc 0.2495 0.2495 0.2515  8 Tl 3.17-3.28
Tm 0.5000 0.5000 0.5000  8 Tl 3.18-3.20

formation energy = -27.5 kJ per mole of atoms
electronic total energy = -4.200 eV per atom
total magnetization = 0.0 μB/f.u.
space-group type = No. 166

2.
A plane-wave DFT calculation with PBE was carried out for a relaxed Sm7TmSc4 crystal.

a = 7.0498 Å, b = 9.3299 Å, c = 8.6563 Å
α = 81.07°, β = 89.96°, γ = 40.93°
Last column: nearest neighbours and their distance in Å.
Element x y z (fractional)
Sm 0.2230 0.7772 0.6642  6 Sm 3.43-3.59, 5 Sc 3.44-3.58, 1 Tm 3.49
Sm 0.5000 0.0000 0.0000  4 Sc 3.45-3.50, 6 Sm 3.47-3.54, 2 Tm 3.52
Sm 0.2467 0.4967 0.9921  7 Sm 3.44-3.62, 3 Sc 3.44-3.54, 2 Tm 3.52-3.58
Sm 0.0321 0.7132 0.3399  6 Sc 3.38-3.61, 5 Sm 3.43-3.59, 1 Tm 3.54
Sm 0.9679 0.2868 0.6601  6 Sc 3.38-3.61, 5 Sm 3.43-3.59, 1 Tm 3.54
Sm 0.7770 0.2228 0.3358  6 Sm 3.43-3.59, 5 Sc 3.44-3.58, 1 Tm 3.49
Sm 0.7533 0.5033 0.0079  7 Sm 3.44-3.62, 3 Sc 3.44-3.54, 2 Tm 3.52-3.58
Sc 0.4705 0.2720 0.6636  3 Sc 3.36-3.57, 8 Sm 3.40-3.61, 1 Tm 3.50
Sc 0.7137 0.7854 0.6594  4 Sc 3.33-3.57, 8 Sm 3.38-3.54
Sc 0.2863 0.2146 0.3406  4 Sc 3.33-3.57, 8 Sm 3.38-3.54
Sc 0.5295 0.7280 0.3364  3 Sc 3.36-3.57, 8 Sm 3.40-3.61, 1 Tm 3.50
Tm 0.0000 0.0000 0.0000  10 Sm 3.49-3.58, 2 Sc 3.50

formation energy = 3.0 kJ per mole of atoms
electronic total energy = -5.205 eV per atom
excess energy over the best structure of this formula in the dataset = 0 meV per atom
total magnetization = 0.0 μB/f.u.
space-group type = No. 2

3.
A plane-wave DFT calculation with PBE was carried out for a relaxed Sm5TmSc3 crystal.

a = 9.3773 Å, b = 9.3773 Å, c = 11.2901 Å
α = 52.16°, β = 52.16°, γ = 73.96°
Last column: nearest neighbours and their distance in Å.
Element x y z (fractional)
Sm 0.1576 0.1576 0.0953  4 Sc 3.14-3.29, 1 Sm 3.20, 1 Tm 3.28
Sm 0.6499 0.1452 0.4651  2 Tm 3.30-3.67, 2 Sc 3.35-3.36, 1 Sm 3.40
Sm 0.8548 0.3501 0.5349  2 Tm 3.30-3.67, 2 Sc 3.35-3.36, 1 Sm 3.40
Sm 0.4900 0.4900 0.7826  3 Sc 3.13-3.27, 1 Tm 3.19, 3 Sm 3.20-3.40
Sm 0.5100 0.5100 0.2174  3 Sc 3.13-3.27, 1 Tm 3.19, 3 Sm 3.20-3.40
Sm 0.8424 0.8424 0.9047  4 Sc 3.14-3.29, 1 Sm 3.20, 1 Tm 3.28
Sm 0.2532 0.7468 0.0000  1 Sc 2.86
Sm 0.1452 0.6499 0.4651  2 Tm 3.30-3.67, 2 Sc 3.35-3.36, 1 Sm 3.40
Sm 0.3501 0.8548 0.5349  2 Tm 3.30-3.67, 2 Sc 3.35-3.36, 1 Sm 3.40
Sm 0.7468 0.2532 0.0000  1 Sc 2.86
Sc 0.3136 0.3136 0.1955  1 Sc 3.01, 5 Sm 3.13-3.31, 1 Tm 3.25
Sc 0.0000 0.0000 0.5000  2 Sc 3.01, 6 Sm 3.14-3.35
Sc 0.0000 0.0000 0.0000  2 Sm 2.86, 2 Tm 3.03
Sc 0.6586 0.6586 0.3265  2 Sc 3.06-3.28, 1 Tm 3.13, 4 Sm 3.18-3.36
Sc 0.6864 0.6864 0.8045  1 Sc 3.01, 5 Sm 3.13-3.31, 1 Tm 3.25
Sc 0.3414 0.3414 0.6735  2 Sc 3.06-3.28, 1 Tm 3.13, 4 Sm 3.18-3.36
Tm 0.8189 0.8189 0.4045  3 Sc 3.03-3.25, 4 Sm 3.19-3.30
Tm 0.1811 0.1811 0.5955  3 Sc 3.03-3.25, 4 Sm 3.19-3.30

formation energy = 42.5 kJ per mole of atoms
electronic total energy = -4.788 eV per atom
total magnetization = 0.0 μB/f.u.
space-group type = No. 12

4.
A plane-wave DFT calculation with PBE was carried out for a relaxed Sm4Tm2Sc crystal.

a = 12.2923 Å, b = 12.2923 Å, c = 6.6678 Å
α = 97.04°, β = 97.04°, γ = 150.12°
Last column: nearest neighbours and their distance in Å.
Element x y z (fractional)
Sm 0.7050 0.1682 0.8548  5 Sm 3.36-3.56, 2 Sc 3.52-3.54, 2 Tm 3.53-3.54
Sm 0.6003 0.5635 0.6455  5 Sm 3.36-3.56, 2 Sc 3.52-3.54, 2 Tm 3.53-3.54
Sm 0.5635 0.6003 0.1455  5 Sm 3.36-3.56, 2 Sc 3.52-3.54, 2 Tm 3.53-3.54
Sm 0.1520 0.0413 0.1043  4 Tm 3.36-3.59, 4 Sm 3.36-3.56, 2 Sc 3.61-3.64
Sm 0.1873 0.7980 0.8962  4 Tm 3.36-3.59, 4 Sm 3.36-3.56, 2 Sc 3.61-3.64
Sm 0.1682 0.7050 0.3548  5 Sm 3.36-3.56, 2 Sc 3.52-3.54, 2 Tm 3.53-3.54
Sm 0.0413 0.1520 0.6043  4 Tm 3.36-3.59, 4 Sm 3.36-3.56, 2 Sc 3.61-3.64
Sm 0.7980 0.1873 0.3962  4 Tm 3.36-3.59, 4 Sm 3.36-3.56, 2 Sc 3.61-3.64
Sc 0.6720 0.4220 0.0001  4 Tm 3.39-3.53, 8 Sm 3.52-3.64
Sc 0.4220 0.6720 0.5001  4 Tm 3.39-3.53, 8 Sm 3.52-3.64
Tm 0.9209 0.1028 0.0483  6 Sm 3.36-3.59, 2 Sc 3.39-3.53, 2 Tm 3.60
Tm 0.6229 0.3049 0.4522  6 Sm 3.36-3.59, 2 Sc 3.40-3.53, 2 Tm 3.60
Tm 0.1028 0.9209 0.5483  6 Sm 3.36-3.59, 2 Sc 3.39-3.53, 2 Tm 3.60
Tm 0.3049 0.6229 0.9522  6 Sm 3.36-3.59, 2 Sc 3.40-3.53, 2 Tm 3.60

formation energy = 6.5 kJ per mole of atoms
electronic total energy = -4.811 eV per atom
excess energy over the best structure of this formula in the dataset = 0 meV per atom
total magnetization = 0.0 μB/f.u.
space-group type = No. 43

The lowest electronic total energy belongs to which entry? Sm7TmSc4